VASP calculation (PBE-GGA) on an optimized crystal structure of Th2ZrIn.

Cell: 4.0996 4.0996 6.8293 Å, 90.00 90.00 90.00°
Atoms (fractional coordinates):
Th 0.0000 0.0000 0.2456
Th 0.0000 0.0000 0.7544
Zr 0.5000 0.5000 0.5000
In 0.5000 0.5000 0.0000

formation enthalpy at 0 K	-0.013	eV/atom
DFT total energy	-26.2	eV for the cell shown
space group	P4/mmm, No. 123
D(E_F)	1.82	states/eV per atom

VASP calculation (PBE-GGA) on an optimized crystal structure of ThZrIn2.

Cell: 5.2814 5.2814 5.2814 Å, 60.00 60.00 60.00°
Atoms (fractional coordinates):
Th 0.0000 0.0000 0.0000
Zr 0.5000 0.5000 0.5000
In 0.2500 0.2500 0.2500
In 0.7500 0.7500 0.7500

formation enthalpy at 0 K	-0.128	eV/atom
DFT total energy	-22.0	eV for the cell shown
space group	Fm-3m, No. 225
D(E_F)	1.08	states/eV per atom

The lowest DFT total energy belongs to which entry?
Th2ZrIn

Number 1 is which compound?
Th2ZrIn